Arrangement a

DFT (PBE) results for ZrCdTe after structural relaxation.

The space group is P3m1. The density of states at the Fermi level is 3.11 states/eV per cell. For the total magnetization, the calculation gives 0.0 μB/cell. The crystal system is trigonal.

The structure in POSCAR format:
```
ZrCdTe
1.0
3.688 0.000 0.000
-1.844 3.194 0.000
0.000 0.000 6.905
Zr Cd Te
1 1 1
direct
0.000 0.000 0.000
0.667 0.333 0.326
0.333 0.667 0.723
```

Arrangement b

DFT (PBE) results for ZrCdTe after structural relaxation.

The space group is P4/nmm. The density of states at the Fermi level is 5.65 states/eV per cell. For the total magnetization, the calculation gives 0.0 μB/cell. The crystal system is tetragonal.

The structure in POSCAR format:
```
ZrCdTe
1.0
4.031 0.000 0.000
0.000 4.031 0.000
0.000 0.000 8.976
Zr Cd Te
2 2 2
direct
0.250 0.250 0.221
0.750 0.750 0.779
0.250 0.750 0.500
0.750 0.250 0.500
0.250 0.250 0.876
0.750 0.750 0.124
```

Of them, arrangement a has the lowest stability.